No. 1
Below is a geometry-optimized DyHoZnIr structure, with properties calculated at the PBE-GGA level.

Cell: 4.9148 4.9148 4.9148 Å, 60.00 60.00 60.00°
With the nearest neighbours (Å) after each atom.
Sites, in units of the cell vectors:
1 Dy 0.0000 0.0000 0.0000  4 Ir 3.01, 4 Zn 3.01
2 Ho 0.5000 0.5000 0.5000  4 Zn 3.01, 4 Ir 3.01
3 Zn 0.7500 0.7500 0.7500  4 Ho 3.01, 4 Dy 3.01
4 Ir 0.2500 0.2500 0.2500  4 Ho 3.01, 4 Dy 3.01

Uncorrected energy ... -5.472 eV/atom

No. 2
Below is a geometry-optimized K3Dy2HoO6 structure, with properties calculated at the PBE-GGA level.

Cell: 6.0230 6.0230 6.5753 Å, 98.78 98.78 120.00°
With the nearest neighbours (Å) after each atom.
Sites, in units of the cell vectors:
1 K 0.0000 0.0000 0.0000  6 O 2.81-2.82
2 K 0.3335 0.6665 0.0000  6 O 2.81-2.82
3 K 0.6665 0.3335 0.0000  6 O 2.81-2.82
4 Dy 0.1667 0.8333 0.5000  6 O 2.32
5 Dy 0.8333 0.1667 0.5000  6 O 2.32
6 Ho 0.5000 0.5000 0.5000  6 O 2.31
7 O 0.1063 0.4383 0.3150  1 Ho 2.31, 2 Dy 2.32
8 O 0.2297 0.2297 0.6850  1 Ho 2.31, 2 Dy 2.32
9 O 0.4383 0.1063 0.3150  1 Ho 2.31, 2 Dy 2.32
10 O 0.5617 0.8937 0.6850  1 Ho 2.31, 2 Dy 2.32
11 O 0.7703 0.7703 0.3150  1 Ho 2.31, 2 Dy 2.32
12 O 0.8937 0.5617 0.6850  1 Ho 2.31, 2 Dy 2.32

Formation energy without anion corrections ... -2.7721 eV/atom

No. 3
Below is a geometry-optimized K2DyHoO4 structure, with properties calculated at the PBE-GGA level.

Cell: 6.0171 3.4738 6.5717 Å, 90.00 107.76 90.00°
With the nearest neighbours (Å) after each atom.
Sites, in units of the cell vectors:
1 K 0.0000 0.0000 0.0000  6 O 2.82
2 K 0.5000 0.5000 0.0000  6 O 2.81
3 Dy 0.0000 0.5000 0.5000  6 O 2.32
4 Ho 0.5000 0.0000 0.5000  6 O 2.31
5 O 0.2294 0.0000 0.6851  1 Ho 2.31, 2 Dy 2.32
6 O 0.2729 0.5000 0.3152  2 Ho 2.31, 1 Dy 2.32
7 O 0.7271 0.5000 0.6848  2 Ho 2.31, 1 Dy 2.32
8 O 0.7706 0.0000 0.3149  1 Ho 2.31, 2 Dy 2.32

Formation energy without anion corrections ... -2.7748 eV/atom

No. 4
Below is a geometry-optimized KDyHo4S8 structure, with properties calculated at the PBE-GGA level.

Cell: 8.1956 8.1956 8.1956 Å, 59.87 59.87 59.87°
With the nearest neighbours (Å) after each atom.
Sites, in units of the cell vectors:
1 K 0.0000 0.0000 0.0000  4 S 2.84
2 Dy 0.6303 0.6303 0.6303  6 S 2.67-2.88
3 Ho 0.1119 0.6302 0.6302  6 S 2.65-2.87
4 Ho 0.2507 0.2507 0.2507  4 S 2.65-2.66
5 Ho 0.6302 0.1119 0.6302  6 S 2.65-2.87
6 Ho 0.6302 0.6302 0.1119  6 S 2.65-2.87
7 S 0.3830 0.3830 0.3830  4 Ho 2.66-2.87
8 S 0.3826 0.3826 0.8537  3 Ho 2.65-2.87, 1 Dy 2.88
9 S 0.3826 0.8537 0.3826  3 Ho 2.65-2.87, 1 Dy 2.88
10 S 0.4252 0.8598 0.8598  2 Ho 2.65, 1 Dy 2.67, 1 K 2.84
11 S 0.8537 0.3826 0.3826  3 Ho 2.65-2.87, 1 Dy 2.88
12 S 0.8588 0.8588 0.8588  3 Ho 2.65, 1 K 2.84
13 S 0.8598 0.4252 0.8598  2 Ho 2.65, 1 Dy 2.67, 1 K 2.84
14 S 0.8598 0.8598 0.4252  2 Ho 2.65, 1 Dy 2.67, 1 K 2.84

Formation energy without anion corrections ... -1.9339 eV/atom

We obtain size of the total moment values of 0.00 0.00 0.00 0.00 μB per formula unit for the records listed above, in that order.
We obtain D(E_F) values of 2.88 0.00 0.00 0.00 states/eV/cell for the records listed above, in that order.